Material: RbZnNi3
Method: DFT, PBE
State: relaxed

Lattice parameters (Å, degrees): 4.6742 4.6742 4.6742 90.00 90.00 90.00
Last column: magnetic moment on the atom in μB.
Element x y z (fractional)
Ni1 0.0000 0.5000 0.0000  0.04
Ni2 0.0000 0.0000 0.5000  0.07
Ni3 0.5000 0.0000 0.0000  0.12
Zn1 0.5000 0.5000 0.5000  0.01
Rb1 0.0000 0.0000 0.0000  0.00

Summary:
Its space-group type is Pm-3m (221). The energy above the most stable polymorph in this dataset is 1.2307 eV per atom. As for the energy of formation: 10.47 eV per formula unit.